# 1
The following is a DFT calculation (PBE) of crystalline RbLi2Ge2 at its relaxed geometry.

Output
E (eV per atom): -2.94

Structure (POSCAR):
```
RbLi2Ge2
1.0
5.0815 0.0000 0.0000
0.0000 5.0815 0.0000
0.0000 0.0000 9.5483
Rb Li Ge
2 4 4
Direct
0.0000 0.0000 0.0000
0.5000 0.5000 0.5000
0.0000 0.5000 0.2500
0.0000 0.5000 0.7500
0.5000 0.0000 0.2500
0.5000 0.0000 0.7500
0.0000 0.0000 0.3769
0.0000 0.0000 0.6231
0.5000 0.5000 0.1231
0.5000 0.5000 0.8769
```


# 2
The following is a DFT calculation (PBE) of crystalline TaSi2Br at its relaxed geometry.

Output
Uncorrected formation energy (eV/atom): 0.74

Structure (POSCAR):
```
TaSi2Br
1.0
6.5058 0.0000 0.0000
0.0000 6.5058 0.0000
0.0000 0.0000 6.5058
Ta Si Br
4 8 4
Direct
0.0000 0.0000 0.0000
0.0000 0.5000 0.5000
0.5000 0.0000 0.5000
0.5000 0.5000 0.0000
0.0000 0.0000 0.5000
0.0000 0.5000 0.0000
0.2500 0.2500 0.7500
0.2500 0.7500 0.2500
0.5000 0.0000 0.0000
0.5000 0.5000 0.5000
0.7500 0.2500 0.2500
0.7500 0.7500 0.7500
0.2500 0.2500 0.2500
0.2500 0.7500 0.7500
0.7500 0.2500 0.7500
0.7500 0.7500 0.2500
```


# 3
The following is a DFT calculation (PBE) of crystalline HoLu2Cd at its relaxed geometry.

Output
E (eV per atom): -3.78

Structure (POSCAR):
```
HoLu2Cd
1.0
3.5138 0.0000 0.0000
0.0000 3.5138 0.0000
0.0000 0.0000 8.9567
Ho Lu Cd
1 2 1
Direct
0.0000 0.0000 0.0000
0.5000 0.5000 0.2720
0.5000 0.5000 0.7280
0.0000 0.0000 0.5000
```


What did we get for volume? Answer: 24.7; 17.2; 27.6 A^3/atom, in the order shown.
What did we get for total moment? Answer: 0.00; 1.89; 0.00 μB/cell, in the order shown.